1.
DFT (PBE) results for HgPOs after structural relaxation.

## Properties
Energy of formation, eV per atom: 0.239
Size of the total moment, Bohr magnetons per cell: 0.00
Calculated volume, A^3/atom: 17.713

a b c (Å): 6.362 6.362 6.362
angles (deg): 152.96 152.96 38.62
Atoms (fractional coordinates):
Hg 0.013 0.013 0.000
P 0.292 0.292 0.000
Os 0.695 0.695 0.000



2.
DFT (PBE) results for RbTlPb after structural relaxation.

## Properties
Energy of formation, eV per atom: -0.134
Size of the total moment, Bohr magnetons per cell: 0.00
Calculated volume, A^3/atom: 42.215

a b c (Å): 4.632 7.769 8.366
angles (deg): 62.34 73.93 90.00
Atoms (fractional coordinates):
Pb 0.500 0.798 0.000
Pb 0.500 0.202 0.000
Tl 0.122 0.122 0.756
Tl 0.878 0.878 0.244
Rb 0.834 0.334 0.332
Rb 0.166 0.666 0.668